1.
The following is a DFT calculation (GGA-PBE) of Pr6AgS2I3 after structural relaxation.

## Properties
Formation energy without anion corrections ... -13.97 eV per formula unit
Raw total energy ... -58.4 eV per cell
M_tot ... 0.000 μB per atom
Crystal system ... monoclinic

The structure in POSCAR format:
```
Pr6AgS2I3
1.0
-6.020 -2.647 -3.051
5.637 -4.378 1.273
-2.811 0.637 7.834
Pr Ag S I
6 1 2 3
direct
0.934 0.578 0.800
0.711 0.711 0.196
0.066 0.422 0.200
0.578 0.934 0.800
0.289 0.289 0.804
0.422 0.066 0.200
0.000 0.000 0.000
0.332 0.668 0.000
0.668 0.332 0.000
0.161 0.839 0.500
0.839 0.161 0.500
0.500 0.500 0.500
```


2.
The following is a DFT calculation (GGA-PBE) of Pr6AgSe2I3 after structural relaxation.

## Properties
Formation energy without anion corrections ... -13.08 eV per formula unit
Raw total energy ... -56.2 eV per cell
M_tot ... 0.000 μB per atom
Crystal system ... monoclinic

The structure in POSCAR format:
```
Pr6AgSe2I3
1.0
7.402 0.010 0.007
-3.690 6.417 0.007
-1.231 -2.132 7.955
Pr Ag Se I
6 1 2 3
direct
0.931 0.588 0.793
0.725 0.725 0.204
0.069 0.412 0.207
0.588 0.931 0.793
0.275 0.275 0.796
0.412 0.069 0.207
0.000 0.000 0.000
0.332 0.668 0.000
0.668 0.332 0.000
0.164 0.836 0.500
0.836 0.164 0.500
0.500 0.500 0.500
```


3.
The following is a DFT calculation (GGA-PBE) of Pr4SiAgI2 after structural relaxation.

## Properties
Formation energy without anion corrections ... -5.70 eV per formula unit
Raw total energy ... -36.2 eV per cell
M_tot ... 0.000 μB per atom
Crystal system ... monoclinic

The structure in POSCAR format:
```
Pr4SiAgI2
1.0
-0.149 4.316 0.208
-0.323 -0.388 7.823
7.675 0.361 -2.013
Pr Si Ag I
4 1 1 2
direct
0.500 0.247 0.213
0.500 0.753 0.787
0.000 0.278 0.793
0.000 0.722 0.207
0.500 0.500 0.000
0.000 0.000 0.000
0.500 0.000 0.500
0.000 0.500 0.500
```


4.
The following is a DFT calculation (GGA-PBE) of PrSmAgI after structural relaxation.

## Properties
Formation energy without anion corrections ... -1.51 eV per formula unit
Raw total energy ... -15.4 eV per cell
M_tot ... 0.000 μB per atom
Crystal system ... cubic

The structure in POSCAR format:
```
PrSmAgI
1.0
5.430 0.000 0.000
2.715 4.702 0.000
2.715 1.567 4.433
Pr I Ag Sm
1 1 1 1
direct
0.750 0.750 0.750
0.500 0.500 0.500
0.000 0.000 0.000
0.250 0.250 0.250
```


The highest raw total energy belongs to which entry?
PrSmAgI